Rb3UBi3Se8 | GGA-PBE | optimized geometry

Results
formation energy without anion corrections = -0.872 eV/atom
total DFT energy (no corrections) = -4.45 eV/atom

a b c (Å): 9.590 9.590 9.590
angles (deg): 53.16 53.16 53.16
Atoms (fractional coordinates):
Rb1 0.000 0.500 0.500
Rb2 0.500 0.000 0.500
Rb3 0.500 0.500 0.000
U1 0.500 0.500 0.500
Bi1 0.000 0.000 0.500
Bi2 0.000 0.500 0.000
Bi3 0.500 0.000 0.000
Se1 0.234 0.234 0.234
Se2 0.243 0.725 0.725
Se3 0.275 0.275 0.757
Se4 0.275 0.757 0.275
Se5 0.725 0.243 0.725
Se6 0.725 0.725 0.243
Se7 0.757 0.275 0.275
Se8 0.766 0.766 0.766

=====

CaZrBe2P | GGA-PBE | optimized geometry

Results
total DFT energy (no corrections) = -4.36 eV/atom
ΔE_f = 326 meV per atom

a b c (Å): 4.413 4.413 4.899
angles (deg): 90.00 90.00 90.00
Atoms (fractional coordinates):
Ca1 0.000 0.000 0.000
Zr1 0.500 0.500 0.000
Be1 0.000 0.500 0.500
Be2 0.500 0.000 0.500
P1 0.500 0.500 0.500

=====

NdNiBi2 | GGA-PBE | optimized geometry

Results
total DFT energy (no corrections) = -4.51 eV/atom
ΔE_f = 69 meV per atom

a b c (Å): 10.346 10.346 10.346
angles (deg): 19.79 19.79 19.79
Atoms (fractional coordinates):
Nd1 0.000 0.000 0.000
Ni1 0.500 0.500 0.500
Bi1 0.108 0.108 0.108
Bi2 0.892 0.892 0.892

=====

Ag2PPdS | GGA-PBE | optimized geometry

Results
formation energy without anion corrections = 0.731 eV/atom
total DFT energy (no corrections) = -3.36 eV/atom

a b c (Å): 4.677 4.677 4.659
angles (deg): 90.00 90.00 90.00
Atoms (fractional coordinates):
Ag1 0.000 0.500 0.000
Ag2 0.500 0.000 0.000
P1 0.000 0.000 0.500
Pd1 0.500 0.500 0.500
S1 0.000 0.000 0.000

=====

GaSb2PbO | GGA-PBE | optimized geometry

Results
formation energy without anion corrections = -0.147 eV/atom
total DFT energy (no corrections) = -4.13 eV/atom

a b c (Å): 4.754 4.754 5.139
angles (deg): 90.00 90.00 90.00
Atoms (fractional coordinates):
Ga1 0.000 0.000 0.000
Sb1 0.000 0.500 0.500
Sb2 0.500 0.000 0.500
Pb1 0.500 0.500 0.000
O1 0.000 0.000 0.500

=====

K3SrTa | GGA-PBE | optimized geometry

Results
total DFT energy (no corrections) = -2.05 eV/atom
ΔE_f = 1319 meV per atom
energy above the lowest structure with this stoichiometry = 0.000 eV per atom

a b c (Å): 6.783 6.783 6.783
angles (deg): 90.00 90.00 90.00
Atoms (fractional coordinates):
K1 0.000 0.000 0.500
K2 0.000 0.500 0.000
K3 0.500 0.000 0.000
Sr1 0.500 0.500 0.500
Ta1 0.000 0.000 0.000

=====

LaCr2Se | GGA-PBE | optimized geometry

Results
formation energy without anion corrections = -0.044 eV/atom
total DFT energy (no corrections) = -6.96 eV/atom

a b c (Å): 5.056 5.056 5.056
angles (deg): 128.98 109.85 91.81
Atoms (fractional coordinates):
La1 0.000 0.000 0.000
Cr1 0.493 0.493 0.000
Cr2 0.682 0.182 0.500
Se1 0.308 0.808 0.500

=====

LiReSnN2 | GGA-PBE | optimized geometry

Results
formation energy without anion corrections = 2.038 eV/atom
total DFT energy (no corrections) = -4.97 eV/atom

a b c (Å): 3.801 3.801 4.487
angles (deg): 90.00 90.00 90.00
Atoms (fractional coordinates):
Li1 0.000 0.000 0.000
Re1 0.500 0.500 0.500
Sn1 0.000 0.000 0.500
N1 0.000 0.500 0.000
N2 0.500 0.000 0.000

=====

- total DFT energy (no corrections) of number 5 (GaSb2PbO)?
  -4.13 eV/atom

=====

- total DFT energy (no corrections) of number 6 (K3SrTa)?
  -2.05 eV/atom

=====

- What is the formula in the sixth record?
  K3SrTa

=====

- Among the records above, which one has the lowest total DFT energy (no corrections)?
  LaCr2Se